Tc2HPtW PBE relaxed; electronic total energy = -8.71 eV/atom; crystal system = tetragonal; energy above the most stable polymorph in this dataset = 0.000 eV/atom; magnetization = 0.0000 μB per atom
1.0
-1.8196 3.5059 -0.0560
-2.4901 -1.2477 2.8014
2.4871 1.3357 2.8056
Tc W Pt H
2 1 1 1
Direct
0.0000 0.5000 0.0000
0.5000 0.0000 0.0000
0.0000 0.0000 0.5000
0.5000 0.5000 0.5000
0.0000 0.0000 0.0000